# 1
VASP calculation (PBE-GGA) on a relaxed structure of CaBe2PdBr.

a b c (Å): 4.342 4.342 5.896
angles (deg): 90.00 90.00 90.00
Positions (direct):
Ca (0.000, 0.000, 0.000)
Be (0.000, 0.500, 0.500)
Be (0.500, 0.000, 0.500)
Pd (0.000, 0.000, 0.500)
Br (0.500, 0.500, 0.000)

Results
- E_form (uncorrected): -0.210 eV/atom
- Fermi-level density of states: 1.82 states/eV per cell



# 2
VASP calculation (PBE-GGA) on a relaxed structure of Sc5TlRu4.

a b c (Å): 3.250 3.250 17.004
angles (deg): 90.00 90.00 90.00
Positions (direct):
Sc (0.000, 0.000, 0.000)
Sc (0.000, 0.000, 0.185)
Sc (0.000, 0.000, 0.369)
Sc (0.000, 0.000, 0.631)
Sc (0.000, 0.000, 0.815)
Tl (0.500, 0.500, 0.500)
Ru (0.500, 0.500, 0.095)
Ru (0.500, 0.500, 0.285)
Ru (0.500, 0.500, 0.715)
Ru (0.500, 0.500, 0.905)

Results
- Energy of formation: -539 meV per atom
- Fermi-level density of states: 6.60 states/eV per cell